Entry from the Alexandria database: a relaxed NaNdEr2Tl4 crystal (PBE-GGA).

abc: 5.3414 5.3414 26.7548
angles: 90.00 90.00 120.00
Space group R-3m (No. 166, hexagonal axes)
Asymmetric unit:
Na: 0.0000 0.0000 0.0000 [3 per cell]
Nd: 0.0000 0.0000 0.5000 [3 per cell]
Er: 0.0000 0.0000 0.2536 [6 per cell]
Tl: 0.0000 0.0000 0.1226 [6 per cell]
Tl: 0.0000 0.0000 0.3732 [6 per cell]

## Properties
Total DFT energy (no corrections) (eV per atom): -3.368
ΔE_f (eV/atom): -0.283